one.
Ti4InN | GGA-PBE | relaxed

Unit cell a=3.993 b=3.993 c=6.789 alpha=90.00 beta=90.00 gamma=90.00
Space group P4/mmm (No. 123)
Asymmetric unit:
1 Ti 0.000 0.000 0.191 [2 per cell]
2 Ti 0.000 0.500 0.500 [2 per cell]
3 In 0.500 0.500 0.000 [1 per cell]
4 N 0.000 0.000 0.500 [1 per cell]

Results
**Spin magnetization**: 2.4 μB/cell

two.
Ti4InN | GGA-PBE | relaxed

Unit cell a=4.412 b=14.246 c=5.876 alpha=90.00 beta=90.00 gamma=90.00
Space group Cmcm (No. 63)
Asymmetric unit:
1 Ti 0.000 0.000 0.000 [4 per cell]
2 Ti 0.000 0.201 0.005 [8 per cell]
3 Ti 0.000 0.393 0.750 [4 per cell]
4 In 0.000 0.392 0.250 [4 per cell]
5 N 0.000 0.101 0.250 [4 per cell]

Results
**Spin magnetization**: 0.0 μB/cell

two is the most stable structure; the next one sits 0.537 eV/atom above it.

one.
VInN2 | GGA-PBE | relaxed

Unit cell a=2.9433 b=2.9433 c=19.9691 alpha=90.00 beta=90.00 gamma=120.00
Space group R-3m (No. 166, hexagonal axes)
Asymmetric unit:
1 V 0.0000 0.0000 0.0000 [3 per cell]
2 In 0.0000 0.0000 0.5000 [3 per cell]
3 N 0.0000 0.0000 0.3865 [6 per cell]

Results
**Spin magnetization**: 0.0 μB/cell

two.
VInN2 | GGA-PBE | relaxed

Unit cell a=5.570 b=5.570 c=5.570 alpha=90.00 beta=90.00 gamma=90.00
Space group Fm-3m (No. 225)
Asymmetric unit:
1 V 0.000 0.000 0.000 [4 per cell]
2 In 0.000 0.000 0.500 [4 per cell]
3 N 0.250 0.250 0.250 [8 per cell]

Results
**Spin magnetization**: 8.0 μB/cell

one is the most stable structure; the next one sits 0.928 eV/atom above it.